<one>
## Hg3Te (GGA-PBE)

Data for an optimized crystal structure of Hg3Te.

Properties
Crystal system ... monoclinic
Size of the total moment ... 0.000 μB per cell

abc: 4.6079 4.6079 8.3390
angles: 91.33 91.33 40.70
Closest atoms and distances in Å follow each position.
Fractional coordinates of all 4 atoms:
1 Hg 0.0000 0.0000 0.0000  4 Hg 2.93-3.21
2 Hg 0.2460 0.2460 0.2474  3 Hg 2.93-3.21, 1 Te 3.00
3 Hg 0.7540 0.7540 0.7526  3 Hg 2.93-3.21, 1 Te 3.00
4 Te 0.5000 0.5000 0.5000  2 Hg 3.00, 2 Te 3.21

<two>
## Hg3Te (GGA-PBE)

Data for an optimized crystal structure of Hg3Te.

Properties
Crystal system ... trigonal
Size of the total moment ... 0.000 μB per cell

abc: 12.4372 12.4372 12.4372
angles: 15.04 15.04 15.04
Closest atoms and distances in Å follow each position.
Fractional coordinates of all 4 atoms:
1 Hg 0.0000 0.0000 0.0000  12 Hg 3.26-3.45
2 Hg 0.2547 0.2547 0.2547  9 Hg 3.26-3.45
3 Hg 0.7453 0.7453 0.7453  9 Hg 3.26-3.45
4 Te 0.5000 0.5000 0.5000  6 Te 3.26

Stability summary: most stable <one>, least stable <two>.

<one>
## Hg3Te (GGA-PBE)

Data for an optimized crystal structure of Hg3Te.

Properties
Crystal system ... tetragonal
Size of the total moment ... 0.000 μB per cell

abc: 7.4351 7.4351 7.4351
angles: 146.93 146.93 47.47
Closest atoms and distances in Å follow each position.
Fractional coordinates of all 4 atoms:
1 Hg 0.0000 0.0000 0.0000  4 Te 2.99
2 Hg 0.2599 0.2599 0.0000  4 Hg 3.00, 1 Te 3.27
3 Hg 0.7401 0.7401 0.0000  4 Hg 3.00, 1 Te 3.27
4 Te 0.5000 0.5000 0.0000  6 Hg 2.99-3.27

<two>
## Hg3Te (GGA-PBE)

Data for an optimized crystal structure of Hg3Te.

Properties
Crystal system ... cubic
Size of the total moment ... 0.000 μB per cell

abc: 4.7697 4.7697 4.7697
angles: 90.00 90.00 90.00
Closest atoms and distances in Å follow each position.
Fractional coordinates of all 4 atoms:
1 Hg 0.0000 0.0000 0.5000  8 Hg 3.37, 4 Te 3.37
2 Hg 0.0000 0.5000 0.0000  8 Hg 3.37, 4 Te 3.37
3 Hg 0.5000 0.0000 0.0000  8 Hg 3.37, 4 Te 3.37
4 Te 0.5000 0.5000 0.5000  12 Hg 3.37

Stability summary: most stable <one>, least stable <two>.

<one>
## Hg3Te (GGA-PBE)

Data for an optimized crystal structure of Hg3Te.

Properties
Crystal system ... tetragonal
Size of the total moment ... 0.000 μB per cell

abc: 13.8411 13.8411 13.8411
angles: 162.42 162.42 24.96
Closest atoms and distances in Å follow each position.
Fractional coordinates of all 8 atoms:
1 Hg 0.0000 0.5000 0.5000  4 Hg 2.99
2 Hg 0.1249 0.1249 0.0000  4 Te 2.99
3 Hg 0.2500 0.7500 0.5000  4 Hg 2.99
4 Hg 0.5000 0.0000 0.5000  4 Hg 2.99
5 Hg 0.7500 0.2500 0.5000  4 Hg 2.99
6 Hg 0.8751 0.8751 0.0000  4 Te 2.99
7 Te 0.3750 0.3750 0.0000  4 Hg 2.99
8 Te 0.6250 0.6250 0.0000  4 Hg 2.99

<two>
## Hg3Te (GGA-PBE)

Data for an optimized crystal structure of Hg3Te.

Properties
Crystal system ... orthorhombic
Size of the total moment ... 0.000 μB per cell

abc: 4.4066 4.4710 6.0460
angles: 90.00 90.00 90.00
Closest atoms and distances in Å follow each position.
Fractional coordinates of all 4 atoms:
1 Hg 0.0000 0.0000 0.0000  6 Hg 3.02-3.14
2 Hg 0.0000 0.0000 0.5000  2 Hg 3.02, 4 Te 3.14
3 Hg 0.5000 0.5000 0.0000  2 Te 3.02, 4 Hg 3.14
4 Te 0.5000 0.5000 0.5000  6 Hg 3.02-3.14

<three>
## Hg3Te (GGA-PBE)

Data for an optimized crystal structure of Hg3Te.

Properties
Crystal system ... orthorhombic
Size of the total moment ... 0.000 μB per cell

abc: 2.9743 5.0408 8.1275
angles: 90.00 90.00 90.00
Closest atoms and distances in Å follow each position.
Fractional coordinates of all 4 atoms:
1 Hg 0.0000 0.0000 0.0000  4 Hg 2.97-3.20
2 Hg 0.0000 0.5000 0.2417  4 Hg 2.97-3.20
3 Hg 0.5000 0.5000 0.7506  2 Hg 2.97, 2 Te 3.15
4 Te 0.5000 0.0000 0.5191  2 Te 2.97, 2 Hg 3.15

<four>
## Hg3Te (GGA-PBE)

Data for an optimized crystal structure of Hg3Te.

Properties
Crystal system ... cubic
Size of the total moment ... 0.000 μB per cell

abc: 6.0566 6.0566 6.0566
angles: 90.00 90.00 90.00
Closest atoms and distances in Å follow each position.
Fractional coordinates of all 8 atoms:
1 Hg 0.0000 0.2500 0.5000  2 Hg 3.03, 4 Te 3.39
2 Hg 0.0000 0.7500 0.5000  2 Hg 3.03, 4 Te 3.39
3 Hg 0.2500 0.5000 0.0000  2 Hg 3.03, 4 Te 3.39
4 Hg 0.5000 0.0000 0.2500  2 Hg 3.03, 4 Te 3.39
5 Hg 0.5000 0.0000 0.7500  2 Hg 3.03, 4 Te 3.39
6 Hg 0.7500 0.5000 0.0000  2 Hg 3.03, 4 Te 3.39
7 Te 0.0000 0.0000 0.0000  12 Hg 3.39
8 Te 0.5000 0.5000 0.5000  12 Hg 3.39

Stability summary: most stable <two>, least stable <four>.

<one>
## Hg5Te (GGA-PBE)

Data for an optimized crystal structure of Hg5Te.

Properties
Crystal system ... cubic
Size of the total moment ... 0.000 μB per cell

abc: 6.2140 6.2140 6.2140
angles: 60.00 60.00 60.00
Closest atoms and distances in Å follow each position.
Fractional coordinates of all 6 atoms:
1 Hg 0.0000 0.0000 0.0000  12 Hg 3.64, 4 Te 3.81
2 Hg 0.1255 0.6248 0.6248  6 Hg 3.10-3.11
3 Hg 0.6248 0.1255 0.6248  6 Hg 3.10-3.11
4 Hg 0.6248 0.6248 0.1255  6 Hg 3.10-3.11
5 Hg 0.6248 0.6248 0.6248  6 Hg 3.10-3.11
6 Te 0.2500 0.2500 0.2500  16 Hg 3.64-3.81

<two>
## Hg5Te (GGA-PBE)

Data for an optimized crystal structure of Hg5Te.

Properties
Crystal system ... tetragonal
Size of the total moment ... 0.000 μB per cell

abc: 3.0944 3.0944 18.2766
angles: 90.00 90.00 90.00
Closest atoms and distances in Å follow each position.
Fractional coordinates of all 6 atoms:
1 Hg 0.0000 0.0000 0.0000  4 Hg 3.09
2 Hg 0.0000 0.0000 0.3224  4 Hg 3.09
3 Hg 0.0000 0.0000 0.6776  4 Hg 3.09
4 Hg 0.5000 0.5000 0.1585  4 Hg 3.09
5 Hg 0.5000 0.5000 0.8415  4 Hg 3.09
6 Te 0.5000 0.5000 0.5000  4 Te 3.09

Stability summary: most stable <two>, least stable <one>.

<one>
## Hg5Te (GGA-PBE)

Data for an optimized crystal structure of Hg5Te.

Properties
Crystal system ... orthorhombic
Size of the total moment ... 0.000 μB per cell

abc: 7.1271 7.1271 4.3111
angles: 90.00 90.00 126.00
Closest atoms and distances in Å follow each position.
Fractional coordinates of all 6 atoms:
1 Hg 0.0000 0.0000 0.0000  4 Hg 3.04
2 Hg 0.1689 0.8311 0.5000  4 Hg 3.01-3.04
3 Hg 0.3345 0.6655 0.0000  2 Te 3.01, 2 Hg 3.01
4 Hg 0.6655 0.3345 0.0000  2 Te 3.01, 2 Hg 3.01
5 Hg 0.8311 0.1689 0.5000  4 Hg 3.01-3.04
6 Te 0.5000 0.5000 0.5000  4 Hg 3.01

<two>
## Hg5Te (GGA-PBE)

Data for an optimized crystal structure of Hg5Te.

Properties
Crystal system ... orthorhombic
Size of the total moment ... 0.000 μB per cell

abc: 9.7794 9.7794 4.3707
angles: 90.00 90.00 155.08
Closest atoms and distances in Å follow each position.
Fractional coordinates of all 6 atoms:
1 Hg 0.0000 0.0000 0.0000  4 Te 3.04
2 Hg 0.1684 0.8316 0.5000  4 Hg 3.04
3 Hg 0.3372 0.6628 0.0000  4 Hg 3.04
4 Hg 0.6628 0.3372 0.0000  4 Hg 3.04
5 Hg 0.8316 0.1684 0.5000  4 Hg 3.04
6 Te 0.5000 0.5000 0.5000  4 Hg 3.04

Stability summary: most stable <two>, least stable <one>.